(1)
Tb5Cd2Au: optimized geometry, PBE.

abc: 5.3446 6.9638 11.3565
angles: 90.00 90.00 90.00
Space group Amm2 (No. 38)
Inequivalent atoms, fractional coordinates:
Tb1 0.0000 0.0000 0.0000 [2 per cell]
Tb2 0.0000 0.2376 0.2695 [4 per cell]
Tb3 0.5000 0.2414 0.5673 [4 per cell]
Cd1 0.0000 0.0000 0.5163 [2 per cell]
Cd2 0.5000 0.0000 0.8258 [2 per cell]
Au1 0.5000 0.0000 0.3371 [2 per cell]

Properties
Crystal system: orthorhombic
Formation energy, meV per atom: -257
Theoretical density, kg/m3: 9558



(2)
TbCd6Au: optimized geometry, PBE.

abc: 6.4909 6.4909 4.9099
angles: 90.00 90.00 120.00
Space group P-6m2 (No. 187)
Inequivalent atoms, fractional coordinates:
Tb1 0.0000 0.0000 0.0000 [1 per cell]
Cd1 0.1700 0.3401 0.5000 [3 per cell]
Cd2 0.5007 0.0014 0.0000 [3 per cell]
Au1 0.6667 0.3333 0.5000 [1 per cell]

Properties
Crystal system: hexagonal
Formation energy, meV per atom: -124
Theoretical density, kg/m3: 9550



(3)
TbYCd2Au4: optimized geometry, PBE.

abc: 4.9390 4.9390 6.9846
angles: 90.00 90.00 90.00
Space group P4/mmm (No. 123)
Inequivalent atoms, fractional coordinates:
Tb1 0.0000 0.0000 0.0000 [1 per cell]
Y1 0.5000 0.5000 0.5000 [1 per cell]
Cd1 0.0000 0.0000 0.5000 [1 per cell]
Cd2 0.5000 0.5000 0.0000 [1 per cell]
Au1 0.0000 0.5000 0.2500 [4 per cell]

Properties
Crystal system: tetragonal
Formation energy, meV per atom: -680
Theoretical density, kg/m3: 12285



(4)
TbY2Cd3Au3: optimized geometry, PBE.

abc: 3.9252 13.4952 7.7996
angles: 90.00 90.00 90.00
Space group Amm2 (No. 38)
Inequivalent atoms, fractional coordinates:
Tb1 0.0000 0.0000 0.0000 [2 per cell]
Y1 0.0000 0.2017 0.6054 [4 per cell]
Cd1 0.5000 0.0000 0.6656 [2 per cell]
Cd2 0.5000 0.1314 0.2724 [4 per cell]
Au1 0.0000 0.0000 0.4033 [2 per cell]
Au2 0.5000 0.1664 0.9035 [4 per cell]

Properties
Crystal system: orthorhombic
Formation energy, meV per atom: -673
Theoretical density, kg/m3: 10168



(5)
TbZrCd2Au4: optimized geometry, PBE.

abc: 4.8781 4.8781 6.8737
angles: 90.00 90.00 90.00
Space group P4/mmm (No. 123)
Inequivalent atoms, fractional coordinates:
Tb1 0.0000 0.0000 0.0000 [1 per cell]
Zr1 0.5000 0.5000 0.5000 [1 per cell]
Cd1 0.0000 0.0000 0.5000 [1 per cell]
Cd2 0.5000 0.5000 0.0000 [1 per cell]
Au1 0.0000 0.5000 0.2644 [4 per cell]

Properties
Crystal system: tetragonal
Formation energy, meV per atom: -570
Theoretical density, kg/m3: 12820



(6)
CdTe2Au: optimized geometry, PBE.

abc: 7.3533 7.3533 7.3533
angles: 90.00 90.00 90.00
Space group F-43m (No. 216)
Inequivalent atoms, fractional coordinates:
Cd1 0.0000 0.0000 0.0000 [4 per cell]
Te1 0.0000 0.0000 0.5000 [4 per cell]
Te2 0.2500 0.2500 0.7500 [4 per cell]
Au1 0.2500 0.2500 0.2500 [4 per cell]

Properties
Crystal system: cubic
DFT total energy, eV for the cell shown: -37.90
Theoretical density, kg/m3: 9432



(7)
TlCdAu2: optimized geometry, PBE.

abc: 7.0060 7.0060 7.0060
angles: 90.00 90.00 90.00
Space group F-43m (No. 216)
Inequivalent atoms, fractional coordinates:
Tl1 0.0000 0.0000 0.0000 [4 per cell]
Cd1 0.2500 0.2500 0.2500 [4 per cell]
Au1 0.0000 0.0000 0.5000 [4 per cell]
Au2 0.2500 0.2500 0.7500 [4 per cell]

Properties
Crystal system: cubic
DFT total energy, eV for the cell shown: -38.48
Theoretical density, kg/m3: 13728



(8)
Tl2CdAu: optimized geometry, PBE.

abc: 7.3988 7.3988 7.3988
angles: 90.00 90.00 90.00
Space group F-43m (No. 216)
Inequivalent atoms, fractional coordinates:
Tl1 0.0000 0.0000 0.0000 [4 per cell]
Tl2 0.2500 0.2500 0.2500 [4 per cell]
Cd1 0.0000 0.0000 0.5000 [4 per cell]
Au1 0.2500 0.2500 0.7500 [4 per cell]

Properties
Crystal system: cubic
DFT total energy, eV for the cell shown: -34.62
Theoretical density, kg/m3: 11777



(9)
Y2TlCdAu4: optimized geometry, PBE.

abc: 4.9761 4.9761 7.0442
angles: 90.00 90.00 90.00
Space group P4/mmm (No. 123)
Inequivalent atoms, fractional coordinates:
Y1 0.0000 0.0000 0.0000 [1 per cell]
Y2 0.5000 0.5000 0.5000 [1 per cell]
Tl1 0.0000 0.0000 0.5000 [1 per cell]
Cd1 0.5000 0.5000 0.0000 [1 per cell]
Au1 0.0000 0.5000 0.2408 [4 per cell]

Properties
Crystal system: tetragonal
DFT total energy, eV for the cell shown: -34.24
Theoretical density, kg/m3: 12209



(10)
TlZnCdAu: optimized geometry, PBE.

abc: 7.0038 7.0038 7.0038
angles: 90.00 90.00 90.00
Space group F-43m (No. 216)
Inequivalent atoms, fractional coordinates:
Tl1 0.0000 0.0000 0.0000 [4 per cell]
Zn1 0.2500 0.2500 0.2500 [4 per cell]
Cd1 0.2500 0.2500 0.7500 [4 per cell]
Au1 0.0000 0.0000 0.5000 [4 per cell]

Properties
Crystal system: cubic
Polymorph energy (0 for the lowest one), meV/atom: 0.0
Theoretical density, kg/m3: 11197



(11)
TmCdAu: optimized geometry, PBE.

abc: 5.0437 5.0437 5.9940
angles: 90.00 90.00 120.00
Space group P6_3/mmc (No. 194)
Inequivalent atoms, fractional coordinates:
Tm1 0.3333 0.6667 0.2500 [2 per cell]
Cd1 0.0000 0.0000 0.0000 [2 per cell]
Au1 0.3333 0.6667 0.7500 [2 per cell]

Properties
Crystal system: hexagonal
Formation energy, meV per atom: -662
Theoretical density, kg/m3: 12030



(12)
TmCdAu: optimized geometry, PBE.

abc: 7.7414 7.7414 3.8664
angles: 90.00 90.00 120.00
Space group P-62m (No. 189)
Inequivalent atoms, fractional coordinates:
Tm1 0.0000 0.4015 0.0000 [3 per cell]
Cd1 0.0000 0.7351 0.5000 [3 per cell]
Au1 0.0000 0.0000 0.0000 [1 per cell]
Au2 0.3333 0.6667 0.5000 [2 per cell]

Properties
Crystal system: hexagonal
Formation energy, meV per atom: -653
Theoretical density, kg/m3: 11874



(13)
TmCdAu: optimized geometry, PBE.

abc: 5.0166 5.0166 9.1438
angles: 90.00 90.00 120.00
Space group P-6m2 (No. 187)
Inequivalent atoms, fractional coordinates:
Tm1 0.0000 0.0000 0.0000 [1 per cell]
Tm2 0.3333 0.6667 0.3090 [2 per cell]
Cd1 0.6667 0.3333 0.1632 [2 per cell]
Cd2 0.6667 0.3333 0.5000 [1 per cell]
Au1 0.0000 0.0000 0.3383 [2 per cell]
Au2 0.3333 0.6667 0.0000 [1 per cell]

Properties
Crystal system: hexagonal
Formation energy, meV per atom: -583
Theoretical density, kg/m3: 11956



(14)
TmCdAu: optimized geometry, PBE.

abc: 6.8093 6.8093 6.8093
angles: 90.00 90.00 90.00
Space group F-43m (No. 216)
Inequivalent atoms, fractional coordinates:
Tm1 0.0000 0.0000 0.0000 [4 per cell]
Cd1 0.2500 0.2500 0.2500 [4 per cell]
Au1 0.2500 0.2500 0.7500 [4 per cell]

Properties
Crystal system: cubic
Formation energy, meV per atom: -167
Theoretical density, kg/m3: 10063



(15)
Tm3Cd2Au: optimized geometry, PBE.

abc: 3.6250 3.6250 10.9986
angles: 90.00 90.00 90.00
Space group P4/mmm (No. 123)
Inequivalent atoms, fractional coordinates:
Tm1 0.0000 0.0000 0.0000 [1 per cell]
Tm2 0.0000 0.0000 0.3457 [2 per cell]
Cd1 0.5000 0.5000 0.1680 [2 per cell]
Au1 0.5000 0.5000 0.5000 [1 per cell]

Properties
Crystal system: tetragonal
Formation energy, meV per atom: -516
Theoretical density, kg/m3: 10669



(16)
YTmCd2Au4: optimized geometry, PBE.

abc: 4.9126 4.9126 6.9619
angles: 90.00 90.00 90.00
Space group P4/mmm (No. 123)
Inequivalent atoms, fractional coordinates:
Y1 0.0000 0.0000 0.0000 [1 per cell]
Tm1 0.5000 0.5000 0.5000 [1 per cell]
Cd1 0.0000 0.0000 0.5000 [1 per cell]
Cd2 0.5000 0.5000 0.0000 [1 per cell]
Au1 0.0000 0.5000 0.2552 [4 per cell]

Properties
Crystal system: tetragonal
Formation energy, meV per atom: -679
Theoretical density, kg/m3: 12557



(17)
TmZrCd2Au4: optimized geometry, PBE.

abc: 4.8445 4.8445 6.8468
angles: 90.00 90.00 90.00
Space group P4/mmm (No. 123)
Inequivalent atoms, fractional coordinates:
Tm1 0.0000 0.0000 0.0000 [1 per cell]
Zr1 0.5000 0.5000 0.5000 [1 per cell]
Cd1 0.0000 0.0000 0.5000 [1 per cell]
Cd2 0.5000 0.5000 0.0000 [1 per cell]
Au1 0.0000 0.5000 0.2583 [4 per cell]

Properties
Crystal system: tetragonal
Formation energy, meV per atom: -568
Theoretical density, kg/m3: 13153



(18)
U4Cd2Au: optimized geometry, PBE.

abc: 5.4857 5.4857 5.3525
angles: 90.00 90.00 90.00
Space group P-42m (No. 111)
Inequivalent atoms, fractional coordinates:
U1 0.2429 0.2429 0.4807 [4 per cell]
Cd1 0.0000 0.5000 0.0000 [2 per cell]
Au1 0.5000 0.5000 0.0000 [1 per cell]

Properties
Crystal system: tetragonal
Formation energy, meV per atom: 361
Theoretical density, kg/m3: 14164



(19)
UCdAu: optimized geometry, PBE.

abc: 6.9674 6.9674 6.9674
angles: 90.00 90.00 90.00
Space group F-43m (No. 216)
Inequivalent atoms, fractional coordinates:
U1 0.0000 0.0000 0.0000 [4 per cell]
Cd1 0.2500 0.2500 0.7500 [4 per cell]
Au1 0.2500 0.2500 0.2500 [4 per cell]

Properties
Crystal system: cubic
Formation energy, meV per atom: 615
Theoretical density, kg/m3: 10750



(20)
CdW2Au: optimized geometry, PBE.

abc: 6.5368 6.5368 6.5368
angles: 90.00 90.00 90.00
Space group F-43m (No. 216)
Inequivalent atoms, fractional coordinates:
Cd1 0.0000 0.0000 0.0000 [4 per cell]
W1 0.0000 0.0000 0.5000 [4 per cell]
W2 0.2500 0.2500 0.7500 [4 per cell]
Au1 0.2500 0.2500 0.2500 [4 per cell]

Properties
Crystal system: cubic
Formation energy, meV per atom: 684
Theoretical density, kg/m3: 16100



(21)
Cd2WAu: optimized geometry, PBE.

abc: 6.6852 6.6852 6.6852
angles: 90.00 90.00 90.00
Space group F-43m (No. 216)
Inequivalent atoms, fractional coordinates:
Cd1 0.0000 0.0000 0.0000 [4 per cell]
Cd2 0.2500 0.2500 0.2500 [4 per cell]
W1 0.0000 0.0000 0.5000 [4 per cell]
Au1 0.2500 0.2500 0.7500 [4 per cell]

Properties
Crystal system: cubic
Formation energy, meV per atom: 660
Theoretical density, kg/m3: 13464



(22)
YCdAu2: optimized geometry, PBE.

abc: 6.9500 6.9500 6.9500
angles: 90.00 90.00 90.00
Space group F-43m (No. 216)
Inequivalent atoms, fractional coordinates:
Y1 0.0000 0.0000 0.0000 [4 per cell]
Cd1 0.2500 0.2500 0.2500 [4 per cell]
Au1 0.0000 0.0000 0.5000 [4 per cell]
Au2 0.2500 0.2500 0.7500 [4 per cell]

Properties
Crystal system: cubic
Formation energy, meV per atom: -517
Theoretical density, kg/m3: 11777



(23)
YCdAu2: optimized geometry, PBE.

abc: 3.5482 3.5482 6.8563
angles: 90.00 90.00 90.00
Space group P4/mmm (No. 123)
Inequivalent atoms, fractional coordinates:
Y1 0.0000 0.0000 0.0000 [1 per cell]
Cd1 0.0000 0.0000 0.5000 [1 per cell]
Au1 0.5000 0.5000 0.2527 [2 per cell]

Properties
Crystal system: tetragonal
Formation energy, meV per atom: -608
Theoretical density, kg/m3: 11451



(24)
YCdAu2: optimized geometry, PBE.

abc: 7.6137 7.5261 6.1967
angles: 90.00 90.00 90.00
Space group Pnma (No. 62)
Inequivalent atoms, fractional coordinates:
Y1 0.0317 0.2500 0.1695 [4 per cell]
Cd1 0.0944 0.7500 0.3407 [4 per cell]
Au1 0.2151 0.0513 0.5475 [8 per cell]

Properties
Crystal system: orthorhombic
Formation energy, meV per atom: -534
Theoretical density, kg/m3: 11135



(25)
YCdAu2: optimized geometry, PBE.

abc: 4.7198 4.7198 3.9059
angles: 90.00 90.00 90.00
Space group P4/mmm (No. 123)
Inequivalent atoms, fractional coordinates:
Y1 0.0000 0.0000 0.0000 [1 per cell]
Cd1 0.5000 0.5000 0.0000 [1 per cell]
Au1 0.0000 0.5000 0.5000 [2 per cell]

Properties
Crystal system: tetragonal
Formation energy, meV per atom: -540
Theoretical density, kg/m3: 11360



(26)
Y3Zn2Cd3Au: optimized geometry, PBE.

abc: 7.5808 7.5808 4.0648
angles: 90.00 90.00 120.00
Space group P-62m (No. 189)
Inequivalent atoms, fractional coordinates:
Y1 0.0000 0.4038 0.0000 [3 per cell]
Zn1 0.3333 0.6667 0.5000 [2 per cell]
Cd1 0.0000 0.7347 0.5000 [3 per cell]
Au1 0.0000 0.0000 0.0000 [1 per cell]

Properties
Crystal system: hexagonal
Formation energy, meV per atom: -457
Theoretical density, kg/m3: 7648